(1)
meta-GGA SCAN Ca3TaGe, single point on PBEsol structure; DOS(E_F) = 0.870 states/eV/atom; magnetic moment = 5.0 μB per cell; crystal system = cubic; SG = Pm-3m (221); ΔH_f (0 K) = 0.73 eV/atom
1.0
5.526 0.000 0.000
0.000 5.526 0.000
0.000 0.000 5.526
Ca Ta Ge
3 1 1
direct
0.000 0.000 0.500 Ca
0.000 0.500 0.000 Ca
0.500 0.000 0.000 Ca
0.500 0.500 0.500 Ta
0.000 0.000 0.000 Ge

***

(2)
meta-GGA SCAN ThGe2, single point on PBEsol structure; DOS(E_F) = 0.312 states/eV/atom; magnetic moment = 0.0 μB per cell; crystal system = orthorhombic; SG = Cmcm (63); ΔH_f (0 K) = -0.62 eV/atom
1.0
4.115 0.000 0.000
0.000 16.761 0.000
0.000 0.000 3.964
Th Ge
4 8
direct
0.000 0.107 0.250 Th
0.000 0.893 0.750 Th
0.500 0.393 0.750 Th
0.500 0.607 0.250 Th
0.000 0.251 0.750 Ge
0.000 0.452 0.250 Ge
0.000 0.548 0.750 Ge
0.000 0.749 0.250 Ge
0.500 0.048 0.750 Ge
0.500 0.249 0.250 Ge
0.500 0.751 0.750 Ge
0.500 0.952 0.250 Ge

***

(3)
meta-GGA SCAN InRePt2, single point on PBEsol structure; DOS(E_F) = 0.501 states/eV/atom; magnetic moment = 0.0 μB per cell; crystal system = monoclinic; SG = Cm (8); ΔH_f (0 K) = -0.03 eV/atom
1.0
9.163 0.000 0.000
0.000 2.803 0.000
-0.874 0.000 4.951
In Re Pt
2 2 4
direct
0.000 0.000 0.000 In
0.500 0.500 0.000 In
0.253 0.000 0.695 Re
0.753 0.500 0.695 Re
0.008 0.500 0.509 Pt
0.250 0.500 0.229 Pt
0.508 0.000 0.509 Pt
0.750 0.000 0.229 Pt

***

(4)
meta-GGA SCAN ZnCu2CS, single point on PBEsol structure; DOS(E_F) = 0.189 states/eV/atom; magnetic moment = 2.1 μB per cell; crystal system = tetragonal; SG = P4/mmm (123); E_form (uncorrected) = 1423.5 meV/atom
1.0
4.133 0.000 0.000
0.000 4.133 0.000
0.000 0.000 4.752
Zn Cu C S
1 2 1 1
direct
0.000 0.000 0.000 Zn
0.000 0.500 0.500 Cu
0.500 0.000 0.500 Cu
0.500 0.500 0.000 C
0.000 0.000 0.500 S

***

(5)
meta-GGA SCAN ZnTcRu, single point on PBEsol structure; DOS(E_F) = 0.979 states/eV/atom; magnetic moment = 0.0 μB per cell; crystal system = cubic; SG = F-43m (216); ΔH_f (0 K) = 0.47 eV/atom; distance to the lowest polymorph of the same formula = 541 meV per atom
1.0
5.762 0.000 0.000
0.000 5.762 0.000
0.000 0.000 5.762
Zn Tc Ru
4 4 4
direct
0.000 0.000 0.000 Zn
0.000 0.500 0.500 Zn
0.500 0.000 0.500 Zn
0.500 0.500 0.000 Zn
0.250 0.250 0.750 Tc
0.250 0.750 0.250 Tc
0.750 0.250 0.250 Tc
0.750 0.750 0.750 Tc
0.000 0.000 0.500 Ru
0.000 0.500 0.000 Ru
0.500 0.000 0.000 Ru
0.500 0.500 0.500 Ru

***

(6)
meta-GGA SCAN InGe3Sb, single point on PBEsol structure; DOS(E_F) = 0.739 states/eV/atom; magnetic moment = 0.0 μB per cell; crystal system = cubic; SG = Pm-3m (221); E_form (uncorrected) = 937.2 meV/atom
1.0
5.263 0.000 0.000
0.000 5.263 0.000
0.000 0.000 5.263
In Ge Sb
1 3 1
direct
0.000 0.000 0.000 In
0.000 0.500 0.500 Ge
0.500 0.000 0.500 Ge
0.500 0.500 0.000 Ge
0.500 0.500 0.500 Sb

***

(7)
meta-GGA SCAN ScNiOs2, single point on PBEsol structure; DOS(E_F) = 1.228 states/eV/atom; magnetic moment = 0.0 μB per cell; crystal system = trigonal; SG = R3m (160); ΔH_f (0 K) = 0.24 eV/atom; distance to the lowest polymorph of the same formula = 233 meV per atom
1.0
2.759 0.000 0.000
-1.380 2.390 0.000
0.000 0.000 26.196
Sc Ni Os
3 3 6
direct
0.000 0.000 0.000 Sc
0.333 0.667 0.667 Sc
0.667 0.333 0.333 Sc
0.000 0.000 0.748 Ni
0.333 0.667 0.415 Ni
0.667 0.333 0.082 Ni
0.000 0.000 0.241 Os
0.000 0.000 0.494 Os
0.333 0.667 0.161 Os
0.333 0.667 0.908 Os
0.667 0.333 0.574 Os
0.667 0.333 0.827 Os

***

(8)
meta-GGA SCAN CsRb3, single point on PBEsol structure; DOS(E_F) = 0.880 states/eV/atom; magnetic moment = 0.0 μB per cell; crystal system = tetragonal; SG = I4/mmm (139); ΔH_f (0 K) = 0.00 eV/atom
1.0
7.183 0.000 0.000
0.000 7.183 0.000
0.000 0.000 13.930
Cs Rb
2 6
direct
0.000 0.000 0.000 Cs
0.500 0.500 0.500 Cs
0.000 0.000 0.500 Rb
0.000 0.500 0.250 Rb
0.000 0.500 0.750 Rb
0.500 0.000 0.250 Rb
0.500 0.000 0.750 Rb
0.500 0.500 0.000 Rb

***

(9)
meta-GGA SCAN LiCaAg2, single point on PBEsol structure; DOS(E_F) = 0.489 states/eV/atom; magnetic moment = 0.0 μB per cell; crystal system = cubic; SG = F-43m (216); ΔH_f (0 K) = -0.19 eV/atom; distance to the lowest polymorph of the same formula = 58 meV per atom
1.0
6.814 0.000 0.000
0.000 6.814 0.000
0.000 0.000 6.814
Li Ca Ag
4 4 8
direct
0.000 0.000 0.000 Li
0.000 0.500 0.500 Li
0.500 0.000 0.500 Li
0.500 0.500 0.000 Li
0.250 0.250 0.750 Ca
0.250 0.750 0.250 Ca
0.750 0.250 0.250 Ca
0.750 0.750 0.750 Ca
0.000 0.000 0.500 Ag
0.000 0.500 0.000 Ag
0.250 0.250 0.250 Ag
0.250 0.750 0.750 Ag
0.500 0.000 0.000 Ag
0.500 0.500 0.500 Ag
0.750 0.250 0.750 Ag
0.750 0.750 0.250 Ag

***

(10)
meta-GGA SCAN ThSiNi, single point on PBEsol structure; DOS(E_F) = 0.787 states/eV/atom; magnetic moment = 0.0 μB per cell; crystal system = tetragonal; SG = I4_1md (109); E_form (uncorrected) = -778.3 meV/atom
1.0
4.045 0.000 0.000
0.000 4.045 0.000
0.000 0.000 13.843
Th Si Ni
4 4 4
direct
0.000 0.000 0.000 Th
0.000 0.500 0.250 Th
0.500 0.000 0.750 Th
0.500 0.500 0.500 Th
0.000 0.000 0.420 Si
0.000 0.500 0.670 Si
0.500 0.000 0.170 Si
0.500 0.500 0.920 Si
0.000 0.000 0.589 Ni
0.000 0.500 0.839 Ni
0.500 0.000 0.339 Ni
0.500 0.500 0.089 Ni

***

(11)
meta-GGA SCAN Cd8Pb, single point on PBEsol structure; DOS(E_F) = 0.291 states/eV/atom; magnetic moment = 0.0 μB per cell; crystal system = tetragonal; SG = I4/mmm (139); ΔH_f (0 K) = 0.04 eV/atom
1.0
-4.717 4.717 2.227
4.717 -4.717 2.227
4.717 4.717 -2.227
Cd Pb
8 1
direct
0.000 0.340 0.340 Cd
0.000 0.660 0.660 Cd
0.326 0.326 0.652 Cd
0.326 0.674 0.000 Cd
0.340 0.000 0.340 Cd
0.660 0.000 0.660 Cd
0.674 0.326 0.000 Cd
0.674 0.674 0.348 Cd
0.000 0.000 0.000 Pb

***

(12)
meta-GGA SCAN Sc2AlIr, single point on PBEsol structure; DOS(E_F) = 0.509 states/eV/atom; magnetic moment = 0.0 μB per cell; crystal system = tetragonal; SG = P4/mmm (123); ΔH_f (0 K) = -0.87 eV/atom; distance to the lowest polymorph of the same formula = 1 meV per atom
1.0
4.519 0.000 0.000
0.000 4.519 0.000
0.000 0.000 3.372
Sc Al Ir
2 1 1
direct
0.000 0.500 0.000 Sc
0.500 0.000 0.000 Sc
0.000 0.000 0.500 Al
0.500 0.500 0.500 Ir

***

(13)
meta-GGA SCAN KRbNa2Au, single point on PBEsol structure; DOS(E_F) = 0.449 states/eV/atom; magnetic moment = 0.0 μB per cell; crystal system = tetragonal; SG = P4/mmm (123); ΔH_f (0 K) = -0.14 eV/atom
1.0
5.879 0.000 0.000
0.000 5.879 0.000
0.000 0.000 6.275
K Rb Na Au
1 1 2 1
direct
0.000 0.000 0.000 K
0.500 0.500 0.000 Rb
0.000 0.500 0.500 Na
0.500 0.000 0.500 Na
0.000 0.000 0.500 Au

***

(14)
meta-GGA SCAN BaSrI4, single point on PBEsol structure; DOS(E_F) = 0.000 states/eV/atom; magnetic moment = 0.0 μB per cell; crystal system = monoclinic; SG = P2_1/c (14); E_form (uncorrected) = -1830.0 meV/atom
1.0
8.369 0.000 0.000
0.000 7.867 0.000
-5.524 0.000 16.940
Ba Sr I
4 4 16
direct
0.217 0.059 0.156 Ba
0.217 0.441 0.656 Ba
0.783 0.559 0.344 Ba
0.783 0.941 0.844 Ba
0.308 0.188 0.905 Sr
0.308 0.312 0.405 Sr
0.692 0.688 0.595 Sr
0.692 0.812 0.095 Sr
0.011 0.250 0.478 I
0.011 0.250 0.978 I
0.036 0.109 0.736 I
0.036 0.391 0.236 I
0.445 0.671 0.182 I
0.445 0.829 0.682 I
0.449 0.695 0.414 I
0.449 0.805 0.914 I
0.551 0.195 0.086 I
0.551 0.305 0.586 I
0.555 0.171 0.318 I
0.555 0.329 0.818 I
0.964 0.609 0.764 I
0.964 0.891 0.264 I
0.989 0.750 0.022 I
0.989 0.750 0.522 I

***

(15)
meta-GGA SCAN Ca2ReCl, single point on PBEsol structure; DOS(E_F) = 0.961 states/eV/atom; magnetic moment = 1.9 μB per cell; crystal system = tetragonal; SG = P4/mmm (123); distance to the lowest polymorph of the same formula = 350 meV per atom; E_form (uncorrected) = 99.8 meV/atom
1.0
4.072 0.000 0.000
0.000 4.072 0.000
0.000 0.000 5.768
Ca Re Cl
2 1 1
direct
0.000 0.000 0.000 Ca
0.500 0.500 0.500 Ca
0.000 0.000 0.500 Re
0.500 0.500 0.000 Cl

***

(16)
meta-GGA SCAN TiCdBr3, single point on PBEsol structure; DOS(E_F) = 0.852 states/eV/atom; magnetic moment = 2.8 μB per cell; crystal system = cubic; SG = Pm-3m (221); E_form (uncorrected) = -212.8 meV/atom
1.0
5.336 0.000 0.000
0.000 5.336 0.000
0.000 0.000 5.336
Ti Cd Br
1 1 3
direct
0.000 0.000 0.000 Ti
0.500 0.500 0.500 Cd
0.000 0.500 0.500 Br
0.500 0.000 0.500 Br
0.500 0.500 0.000 Br

***

(17)
meta-GGA SCAN TlSn3W, single point on PBEsol structure; DOS(E_F) = 0.663 states/eV/atom; magnetic moment = 4.4 μB per cell; crystal system = cubic; SG = Pm-3m (221); ΔH_f (0 K) = 1.95 eV/atom
1.0
5.449 0.000 0.000
0.000 5.449 0.000
0.000 0.000 5.449
Tl Sn W
1 3 1
direct
0.000 0.000 0.000 Tl
0.000 0.000 0.500 Sn
0.000 0.500 0.000 Sn
0.500 0.000 0.000 Sn
0.500 0.500 0.500 W

***

(18)
meta-GGA SCAN Al2S3, single point on PBEsol structure; DOS(E_F) = 0.000 states/eV/atom; magnetic moment = 0.0 μB per cell; crystal system = trigonal; SG = R-3c (167); E_form (uncorrected) = -1216.9 meV/atom
1.0
3.011 1.738 5.434
-3.011 1.738 5.434
0.000 -3.477 5.434
Al S
4 6
direct
0.151 0.151 0.151 Al
0.349 0.349 0.349 Al
0.651 0.651 0.651 Al
0.849 0.849 0.849 Al
0.056 0.750 0.444 S
0.250 0.556 0.944 S
0.444 0.056 0.750 S
0.556 0.944 0.250 S
0.750 0.444 0.056 S
0.944 0.250 0.556 S

***

(19)
meta-GGA SCAN MnCu2Re, single point on PBEsol structure; DOS(E_F) = 0.577 states/eV/atom; magnetic moment = 2.8 μB per cell; crystal system = orthorhombic; SG = Pmm2 (25); ΔH_f (0 K) = 0.14 eV/atom; distance to the lowest polymorph of the same formula = 8 meV per atom
1.0
2.557 0.000 0.000
0.000 3.696 0.000
0.000 0.000 5.187
Mn Cu Re
1 2 1
direct
0.000 0.000 0.000 Mn
0.000 0.000 0.508 Cu
0.500 0.500 0.733 Cu
0.500 0.500 0.230 Re

***

(20)
meta-GGA SCAN LiTaCu2, single point on PBEsol structure; DOS(E_F) = 0.526 states/eV/atom; magnetic moment = 0.0 μB per cell; crystal system = orthorhombic; SG = Pmm2 (25); ΔH_f (0 K) = 0.08 eV/atom
1.0
2.595 0.000 0.000
0.000 4.480 0.000
0.000 0.000 4.713
Li Ta Cu
1 1 2
direct
0.000 0.000 0.000 Li
0.000 0.500 0.597 Ta
0.500 0.000 0.473 Cu
0.500 0.500 0.103 Cu

***

(21)
meta-GGA SCAN Al2NiOs, single point on PBEsol structure; DOS(E_F) = 0.377 states/eV/atom; magnetic moment = 0.0 μB per cell; crystal system = orthorhombic; SG = Pmm2 (25); ΔH_f (0 K) = -0.36 eV/atom
1.0
2.670 0.000 0.000
0.000 3.837 0.000
0.000 0.000 5.146
Al Ni Os
2 1 1
direct
0.000 0.000 0.000 Al
0.500 0.500 0.304 Al
0.000 0.000 0.494 Ni
0.500 0.500 0.796 Os

***

(22)
meta-GGA SCAN YTa2Au, single point on PBEsol structure; DOS(E_F) = 0.352 states/eV/atom; magnetic moment = 0.0 μB per cell; crystal system = cubic; SG = F-43m (216); ΔH_f (0 K) = 0.02 eV/atom; distance to the lowest polymorph of the same formula = 13 meV per atom
1.0
6.731 0.000 0.000
0.000 6.731 0.000
0.000 0.000 6.731
Y Ta Au
4 8 4
direct
0.000 0.000 0.000 Y
0.000 0.500 0.500 Y
0.500 0.000 0.500 Y
0.500 0.500 0.000 Y
0.000 0.000 0.500 Ta
0.000 0.500 0.000 Ta
0.250 0.250 0.750 Ta
0.250 0.750 0.250 Ta
0.500 0.000 0.000 Ta
0.500 0.500 0.500 Ta
0.750 0.250 0.250 Ta
0.750 0.750 0.750 Ta
0.250 0.250 0.250 Au
0.250 0.750 0.750 Au
0.750 0.250 0.750 Au
0.750 0.750 0.250 Au

***

(23)
meta-GGA SCAN CaY2, single point on PBEsol structure; DOS(E_F) = 0.966 states/eV/atom; magnetic moment = 5.1 μB per cell; crystal system = monoclinic; SG = C2/m (12); ΔH_f (0 K) = 0.08 eV/atom; distance to the lowest polymorph of the same formula = 3 meV per atom
1.0
13.379 0.000 0.000
0.000 3.619 0.000
-2.042 0.000 8.228
Ca Y
4 8
direct
0.028 0.000 0.301 Ca
0.472 0.500 0.699 Ca
0.528 0.500 0.301 Ca
0.972 0.000 0.699 Ca
0.148 0.500 0.027 Y
0.201 0.500 0.641 Y
0.299 0.000 0.359 Y
0.352 0.000 0.973 Y
0.648 0.000 0.027 Y
0.701 0.000 0.641 Y
0.799 0.500 0.359 Y
0.852 0.500 0.973 Y

***

(24)
meta-GGA SCAN CdRhW, single point on PBEsol structure; DOS(E_F) = 0.732 states/eV/atom; magnetic moment = 0.0 μB per cell; crystal system = trigonal; SG = P3m1 (156); ΔH_f (0 K) = 0.16 eV/atom
1.0
2.818 0.000 0.000
-1.409 2.440 0.000
0.000 0.000 6.991
Cd Rh W
1 1 1
direct
0.000 0.000 0.000 Cd
0.333 0.667 0.655 Rh
0.667 0.333 0.363 W

***

(25)
meta-GGA SCAN AlRe2, single point on PBEsol structure; DOS(E_F) = 0.660 states/eV/atom; magnetic moment = 0.0 μB per cell; crystal system = tetragonal; SG = I4_1/amd (141); ΔH_f (0 K) = 0.23 eV/atom
1.0
2.802 0.000 0.000
0.000 2.802 0.000
0.000 0.000 22.900
Al Re
4 8
direct
0.000 0.250 0.375 Al
0.000 0.750 0.625 Al
0.500 0.250 0.125 Al
0.500 0.750 0.875 Al
0.000 0.250 0.795 Re
0.000 0.250 0.955 Re
0.000 0.750 0.045 Re
0.000 0.750 0.205 Re
0.500 0.250 0.545 Re
0.500 0.250 0.705 Re
0.500 0.750 0.295 Re
0.500 0.750 0.455 Re

***

(26)
meta-GGA SCAN BaTaSnPb2, single point on PBEsol structure; DOS(E_F) = 1.523 states/eV/atom; magnetic moment = 3.0 μB per cell; crystal system = tetragonal; SG = P4/mmm (123); ΔH_f (0 K) = 2.02 eV/atom
1.0
5.900 0.000 0.000
0.000 5.900 0.000
0.000 0.000 5.834
Ba Ta Sn Pb
1 1 1 2
direct
0.000 0.000 0.000 Ba
0.500 0.500 0.500 Ta
0.000 0.000 0.500 Sn
0.000 0.500 0.000 Pb
0.500 0.000 0.000 Pb